CrFeSbC2 | PBE | optimized geometry

CIF file:
```
data_CrFeSbC2
_cell_length_a 3.782
_cell_length_b 3.782
_cell_length_c 5.360
_cell_angle_alpha 90.00
_cell_angle_beta 90.00
_cell_angle_gamma 90.00
_symmetry_space_group_name_H-M 'P 4/m m m'
_symmetry_Int_Tables_number 123
_symmetry_space_group_name_Hall '-P 4 2'
loop_
_atom_site_label
_atom_site_type_symbol
_atom_site_fract_x
_atom_site_fract_y
_atom_site_fract_z
Cr1 Cr 0.000 0.000 0.000
Fe1 Fe 0.500 0.500 0.500
Sb1 Sb 0.000 0.000 0.500
C1 C 0.000 0.500 0.000
```

Calculated values
Theoretical density in g cm⁻³: 5.49
Uncorrected formation energy in eV/f.u.: 7.32

***

NaCaVSe2 | PBE | optimized geometry

CIF file:
```
data_NaCaVSe2
_cell_length_a 5.466
_cell_length_b 5.466
_cell_length_c 5.182
_cell_angle_alpha 90.00
_cell_angle_beta 90.00
_cell_angle_gamma 90.00
_symmetry_space_group_name_H-M 'P 4/m m m'
_symmetry_Int_Tables_number 123
_symmetry_space_group_name_Hall '-P 4 2'
loop_
_atom_site_label
_atom_site_type_symbol
_atom_site_fract_x
_atom_site_fract_y
_atom_site_fract_z
Na1 Na 0.000 0.000 0.000
Ca1 Ca 0.000 0.000 0.500
V1 V 0.500 0.500 0.000
Se1 Se 0.000 0.500 0.500
```

Calculated values
Theoretical density in g cm⁻³: 2.92
Uncorrected formation energy in eV/f.u.: 2.82

***

Cs2GaI3 | PBE | optimized geometry

CIF file:
```
data_Cs2GaI3
_cell_length_a 5.000
_cell_length_b 27.565
_cell_length_c 9.217
_cell_angle_alpha 90.00
_cell_angle_beta 90.00
_cell_angle_gamma 90.00
_symmetry_space_group_name_H-M 'C m c m'
_symmetry_Int_Tables_number 63
_symmetry_space_group_name_Hall '-C 2c 2'
loop_
_atom_site_label
_atom_site_type_symbol
_atom_site_fract_x
_atom_site_fract_y
_atom_site_fract_z
Cs1 Cs 0.000 0.010 0.250
Cs2 Cs 0.000 0.165 0.750
Ga1 Ga 0.000 0.342 0.750
I1 I 0.000 0.228 0.250
I2 I 0.000 0.419 0.015
```

Calculated values
Theoretical density in g cm⁻³: 3.75
E above lowest polymorph in meV/atom: 21.8
Uncorrected formation energy in eV/f.u.: -6.62